SrHfZn2 | PBE | optimized geometry

Geometry as POSCAR:
```
SrHfZn2
1.0
3.481 0.000 0.000
0.000 3.481 0.000
0.000 0.000 7.461
Sr Hf Zn
1 1 2
direct
0.000 0.000 0.000 Sr
0.000 0.000 0.500 Hf
0.500 0.500 0.302 Zn
0.500 0.500 0.698 Zn
```

Summary:
- DOS at the Fermi energy: 2.02 states/eV per cell
- E above lowest polymorph: 0 meV/atom


ScPPt2 | PBE | optimized geometry

Geometry as POSCAR:
```
ScPPt2
1.0
3.773 0.000 0.000
-1.887 3.268 0.000
0.000 0.000 17.511
Sc P Pt
3 3 6
direct
0.000 0.000 0.000 Sc
0.333 0.667 0.667 Sc
0.667 0.333 0.333 Sc
0.000 0.000 0.764 P
0.333 0.667 0.430 P
0.667 0.333 0.097 P
0.000 0.000 0.241 Pt
0.000 0.000 0.476 Pt
0.333 0.667 0.143 Pt
0.333 0.667 0.907 Pt
0.667 0.333 0.574 Pt
0.667 0.333 0.809 Pt
```

Summary:
- DOS at the Fermi energy: 7.49 states/eV per cell


BeHg2Sb | PBE | optimized geometry

Geometry as POSCAR:
```
BeHg2Sb
1.0
3.314 0.000 0.000
0.000 5.826 0.000
0.000 0.000 9.195
Be Hg Sb
2 4 2
direct
0.000 0.000 0.000 Be
0.500 0.500 0.000 Be
0.000 0.500 0.198 Hg
0.000 0.500 0.802 Hg
0.500 0.000 0.198 Hg
0.500 0.000 0.802 Hg
0.000 0.000 0.500 Sb
0.500 0.500 0.500 Sb
```

Summary:
- DOS at the Fermi energy: 2.53 states/eV per cell
- E above lowest polymorph: 226 meV/atom


LiPrTl | PBE | optimized geometry

Geometry as POSCAR:
```
LiPrTl
1.0
6.866 0.000 0.000
0.000 6.866 0.000
0.000 0.000 6.866
Li Pr Tl
4 4 4
direct
0.000 0.000 0.000 Li
0.000 0.500 0.500 Li
0.500 0.000 0.500 Li
0.500 0.500 0.000 Li
0.250 0.250 0.250 Pr
0.250 0.750 0.750 Pr
0.750 0.250 0.750 Pr
0.750 0.750 0.250 Pr
0.250 0.250 0.750 Tl
0.250 0.750 0.250 Tl
0.750 0.250 0.250 Tl
0.750 0.750 0.750 Tl
```

Summary:
- DOS at the Fermi energy: 12.75 states/eV per cell
- E above lowest polymorph: 192 meV/atom


NpP6Pd12 | PBE | optimized geometry

Geometry as POSCAR:
```
NpP6Pd12
1.0
5.466 3.156 2.989
-5.466 3.156 2.989
0.000 -6.312 2.989
Np P Pd
1 6 12
direct
0.000 0.000 0.000 Np
0.234 0.234 0.675 P
0.234 0.675 0.234 P
0.325 0.766 0.766 P
0.675 0.234 0.234 P
0.766 0.325 0.766 P
0.766 0.766 0.325 P
0.127 0.500 0.873 Pd
0.127 0.873 0.500 Pd
0.180 0.449 0.449 Pd
0.449 0.180 0.449 Pd
0.449 0.449 0.180 Pd
0.500 0.127 0.873 Pd
0.500 0.873 0.127 Pd
0.551 0.551 0.820 Pd
0.551 0.820 0.551 Pd
0.820 0.551 0.551 Pd
0.873 0.127 0.500 Pd
0.873 0.500 0.127 Pd
```

Summary:
- DOS at the Fermi energy: 20.01 states/eV per cell


ErHfMgZn | PBE | optimized geometry

Geometry as POSCAR:
```
ErHfMgZn
1.0
7.012 0.000 0.000
0.000 7.012 0.000
0.000 0.000 7.012
Er Hf Mg Zn
4 4 4 4
direct
0.000 0.000 0.000 Er
0.000 0.500 0.500 Er
0.500 0.000 0.500 Er
0.500 0.500 0.000 Er
0.000 0.000 0.500 Hf
0.000 0.500 0.000 Hf
0.500 0.000 0.000 Hf
0.500 0.500 0.500 Hf
0.250 0.250 0.250 Mg
0.250 0.750 0.750 Mg
0.750 0.250 0.750 Mg
0.750 0.750 0.250 Mg
0.250 0.250 0.750 Zn
0.250 0.750 0.250 Zn
0.750 0.250 0.250 Zn
0.750 0.750 0.750 Zn
```

Summary:
- DOS at the Fermi energy: 15.14 states/eV per cell


Sr2NdTaN4 | PBE | optimized geometry

Geometry as POSCAR:
```
Sr2NdTaN4
1.0
-3.453 3.586 5.031
3.453 -3.586 5.031
3.453 3.586 -5.031
Sr Nd Ta N
4 2 2 8
direct
0.000 0.000 0.000 Sr
0.500 0.000 0.000 Sr
0.500 0.000 0.500 Sr
0.500 0.500 0.500 Sr
0.000 0.500 0.500 Nd
0.500 0.500 0.000 Nd
0.000 0.000 0.500 Ta
0.000 0.500 0.000 Ta
0.204 0.747 0.457 N
0.209 0.253 0.957 N
0.212 0.222 0.510 N
0.212 0.701 0.990 N
0.788 0.299 0.010 N
0.788 0.778 0.490 N
0.791 0.747 0.043 N
0.796 0.253 0.543 N
```

Summary:
- DOS at the Fermi energy: 0.93 states/eV per cell


SmNiAu | PBE | optimized geometry

Geometry as POSCAR:
```
SmNiAu
1.0
6.223 0.000 0.000
0.000 5.433 0.000
-2.778 0.000 7.043
Sm Ni Au
4 4 4
direct
0.192 0.116 0.375 Sm
0.192 0.384 0.875 Sm
0.808 0.616 0.125 Sm
0.808 0.884 0.625 Sm
0.166 0.618 0.520 Ni
0.166 0.882 0.020 Ni
0.834 0.118 0.980 Ni
0.834 0.382 0.480 Ni
0.407 0.595 0.295 Au
0.407 0.905 0.795 Au
0.593 0.095 0.205 Au
0.593 0.405 0.705 Au
```

Summary:
- DOS at the Fermi energy: 8.19 states/eV per cell


Sr2In2Pd5Pt | PBE | optimized geometry

Geometry as POSCAR:
```
Sr2In2Pd5Pt
1.0
10.675 0.000 0.000
0.000 10.675 0.000
0.000 0.000 3.663
Sr In Pd Pt
4 4 10 2
direct
0.173 0.327 0.000 Sr
0.327 0.827 0.000 Sr
0.673 0.173 0.000 Sr
0.827 0.673 0.000 Sr
0.129 0.629 0.000 In
0.371 0.129 0.000 In
0.629 0.871 0.000 In
0.871 0.371 0.000 In
0.000 0.500 0.500 Pd
0.057 0.810 0.500 Pd
0.190 0.057 0.500 Pd
0.310 0.557 0.500 Pd
0.443 0.310 0.500 Pd
0.500 0.000 0.500 Pd
0.557 0.690 0.500 Pd
0.690 0.443 0.500 Pd
0.810 0.943 0.500 Pd
0.943 0.190 0.500 Pd
0.000 0.000 0.000 Pt
0.500 0.500 0.000 Pt
```

Summary:
- DOS at the Fermi energy: 13.32 states/eV per cell


Ba7H12I2 | PBE | optimized geometry

Geometry as POSCAR:
```
Ba7H12I2
1.0
10.816 0.000 0.000
-5.408 9.367 0.000
0.000 0.000 4.408
Ba H I
7 12 2
direct
0.000 0.000 0.000 Ba
0.100 0.715 0.500 Ba
0.285 0.385 0.500 Ba
0.402 0.090 0.000 Ba
0.615 0.900 0.500 Ba
0.688 0.598 0.000 Ba
0.910 0.312 0.000 Ba
0.054 0.441 0.500 H
0.128 0.273 0.000 H
0.145 0.872 0.000 H
0.210 0.096 0.500 H
0.387 0.946 0.500 H
0.424 0.358 0.000 H
0.559 0.613 0.500 H
0.642 0.066 0.000 H
0.727 0.855 0.000 H
0.887 0.790 0.500 H
0.904 0.113 0.500 H
0.934 0.576 0.000 H
0.333 0.667 0.000 I
0.667 0.333 0.500 I
```

Summary:
- DOS at the Fermi energy: 0.00 states/eV per cell


TiCrSb2 | PBE | optimized geometry

Geometry as POSCAR:
```
TiCrSb2
1.0
4.009 0.000 0.000
-2.005 3.472 0.000
0.000 0.000 18.572
Ti Cr Sb
3 3 6
direct
0.000 0.000 0.000 Ti
0.333 0.667 0.667 Ti
0.667 0.333 0.333 Ti
0.000 0.000 0.500 Cr
0.333 0.667 0.167 Cr
0.667 0.333 0.833 Cr
0.000 0.000 0.245 Sb
0.000 0.000 0.755 Sb
0.333 0.667 0.421 Sb
0.333 0.667 0.912 Sb
0.667 0.333 0.088 Sb
0.667 0.333 0.579 Sb
```

Summary:
- DOS at the Fermi energy: 8.95 states/eV per cell
- E above lowest polymorph: 0 meV/atom


ScAl | PBE | optimized geometry

Geometry as POSCAR:
```
ScAl
1.0
8.525 0.000 0.000
0.000 7.083 0.000
0.000 0.000 5.298
Sc Al
8 8
direct
0.190 0.154 0.250 Sc
0.190 0.846 0.750 Sc
0.310 0.346 0.750 Sc
0.310 0.654 0.250 Sc
0.690 0.346 0.750 Sc
0.690 0.654 0.250 Sc
0.810 0.154 0.250 Sc
0.810 0.846 0.750 Sc
0.000 0.175 0.750 Al
0.000 0.500 0.000 Al
0.000 0.500 0.500 Al
0.000 0.825 0.250 Al
0.500 0.000 0.000 Al
0.500 0.000 0.500 Al
0.500 0.325 0.250 Al
0.500 0.675 0.750 Al
```

Summary:
- DOS at the Fermi energy: 11.84 states/eV per cell


| no. | calculated total energy (eV/atom) |
| --- | --- |
| 1 | -3.6332 |
| 2 | -6.6281 |
| 3 | -1.7200 |
| 4 | -3.1179 |
| 5 | -6.0405 |
| 6 | -4.3528 |
| 7 | -7.6542 |
| 8 | -5.1677 |
| 9 | -4.4905 |
| 10 | -3.4199 |
| 11 | -6.4380 |
| 12 | -5.4511 |